ScFe2Tc: optimized geometry, GGA-PBE.

## Properties
Energy above the most stable polymorph in this dataset = 295 meV per atom
ΔH_f (0 K) = 0.31 eV per atom

Cell: 8.7384 8.7384 8.7384 Å, 18.38 18.38 18.38°
Last column: nearest neighbours and their distance in Å.
Fractional coordinates of all 4 atoms:
Sc 0.0000 0.0000 0.0000  6 Fe 2.77, 6 Sc 2.79
Fe 0.2458 0.2458 0.2458  3 Tc 2.60, 3 Sc 2.77, 6 Fe 2.79
Fe 0.7542 0.7542 0.7542  3 Tc 2.60, 3 Sc 2.77, 6 Fe 2.79
Tc 0.5000 0.5000 0.5000  6 Fe 2.60, 6 Tc 2.79